## KPtW2 (SCAN)

Data for KPtW2 at its PBEsol-relaxed geometry.

Calculated values
Formation enthalpy at 0 K ... 1.48 eV/atom
Excess energy over the best structure of this formula in the dataset ... 623 meV/atom
SG ... No. 139

Geometry as extended XYZ:
```
4
Lattice="-1.828 -3.001 -1.620 3.350 -1.236 -1.491 0.012 -0.434 5.410" Properties=species:S:1:pos:R:3 pbc="T T T"
K 0.761 -2.119 -1.555
Pt 0.000 0.000 0.000
W -0.527 -2.777 1.117
W 2.062 -1.894 1.182
```